No. 1
Zr3PaHg, optimized geometry, DFT GGA-PBE; ΔE_f = -0.039 eV per atom
1.0
7.460 0.000 0.000
0.000 3.966 0.000
-0.571 0.000 7.744
Zr Pa Hg
6 2 2
Direct
0.038 0.250 0.148 Zr
0.248 0.250 0.738 Zr
0.448 0.250 0.353 Zr
0.552 0.750 0.647 Zr
0.752 0.750 0.262 Zr
0.962 0.750 0.852 Zr
0.357 0.750 0.048 Pa
0.643 0.250 0.952 Pa
0.149 0.750 0.444 Hg
0.851 0.250 0.556 Hg

---

No. 2
Zr2PaHg2, optimized geometry, DFT GGA-PBE; ΔE_f = -0.028 eV per atom
1.0
2.135 -8.305 0.000
2.135 8.305 0.000
0.000 0.000 3.273
Zr Pa Hg
2 1 2
Direct
0.103 0.897 0.000 Zr
0.897 0.103 0.000 Zr
0.500 0.500 0.500 Pa
0.306 0.694 0.500 Hg
0.694 0.306 0.500 Hg

---

No. 3
Zr2PaHg, optimized geometry, DFT GGA-PBE; ΔE_f = -0.039 eV per atom; polymorph energy (0 for the lowest one) = 0.0 meV per atom
1.0
3.631 0.000 0.000
0.000 3.631 0.000
0.000 0.000 6.831
Zr Pa Hg
2 1 1
Direct
0.000 0.000 0.246 Zr
0.000 0.000 0.754 Zr
0.500 0.500 0.000 Pa
0.500 0.500 0.500 Hg

---

No. 4
ZrPaHg2, optimized geometry, DFT GGA-PBE; ΔE_f = 0.105 eV per atom; polymorph energy (0 for the lowest one) = 157.2 meV per atom
1.0
0.000 3.652 3.652
3.652 0.000 3.652
3.652 3.652 0.000
Zr Pa Hg
1 1 2
Direct
0.000 0.000 0.000 Zr
0.500 0.500 0.500 Pa
0.250 0.250 0.250 Hg
0.750 0.750 0.750 Hg

---

No. 5
Zr2PaHg, optimized geometry, DFT GGA-PBE; ΔE_f = 0.124 eV per atom; polymorph energy (0 for the lowest one) = 163.3 meV per atom
1.0
0.000 3.601 3.601
3.601 0.000 3.601
3.601 3.601 0.000
Zr Pa Hg
2 1 1
Direct
0.000 0.000 0.000 Zr
0.250 0.250 0.250 Zr
0.750 0.750 0.750 Pa
0.500 0.500 0.500 Hg

---

No. 6
Zr6PaHg5, optimized geometry, DFT GGA-PBE; ΔE_f = -0.110 eV per atom
1.0
-2.386 3.883 7.142
2.386 -3.883 7.142
2.386 3.883 -7.142
Zr Pa Hg
6 1 5
Direct
0.080 0.836 0.244 Zr
0.248 0.500 0.748 Zr
0.408 0.164 0.244 Zr
0.592 0.836 0.756 Zr
0.752 0.500 0.252 Zr
0.920 0.164 0.756 Zr
0.000 0.000 0.000 Pa
0.170 0.670 0.500 Hg
0.334 0.334 0.000 Hg
0.500 0.000 0.500 Hg
0.666 0.666 0.000 Hg
0.830 0.330 0.500 Hg

---

No. 7
ZrPaHg2, optimized geometry, DFT GGA-PBE; ΔE_f = -0.052 eV per atom; polymorph energy (0 for the lowest one) = 0.0 meV per atom
1.0
3.186 0.000 0.000
0.000 3.186 0.000
0.000 0.000 8.983
Zr Pa Hg
1 1 2
Direct
0.000 0.000 0.000 Zr
0.000 0.000 0.500 Pa
0.500 0.500 0.236 Hg
0.500 0.500 0.764 Hg

---

No. 8
Zr2PaHg, optimized geometry, DFT GGA-PBE; ΔE_f = 0.124 eV per atom; polymorph energy (0 for the lowest one) = 163.2 meV per atom
1.0
0.000 3.559 3.559
3.559 0.000 3.559
3.559 3.559 0.000
Zr Pa Hg
2 1 1
Direct
0.250 0.250 0.250 Zr
0.750 0.750 0.750 Zr
0.000 0.000 0.000 Pa
0.500 0.500 0.500 Hg